DFT (PBE) results for crystalline NaHf2SiTc at its relaxed geometry.

a = 5.0222 Å, b = 4.4341 Å, c = 5.0222 Å
α = 90.00°, β = 90.00°, γ = 90.00°
Positions (direct):
Na: 0.5000 0.5000 0.5000
Si: 0.0000 0.0000 0.0000
Hf: 0.0000 0.0000 0.5000
Hf: 0.5000 0.0000 0.0000
Tc: 0.0000 0.5000 0.0000

Results
D(E_F) in states/eV/cell: 2.02
Raw formation energy in eV per atom: 0.535
Total magnetic moment in Bohr magnetons per cell: 0.0